[1]
VASP calculation (meta-GGA SCAN) on a PBEsol-optimized structure of CaCrPN2.

POSCAR file:
```
CaCrPN2
1.0
3.802 0.000 0.000
0.000 3.802 0.000
0.000 0.000 4.952
Ca Cr P N
1 1 1 2
Direct
0.000 0.000 0.000
0.500 0.500 0.000
0.000 0.000 0.500
0.000 0.500 0.500
0.500 0.000 0.500
```

Properties
Density   3.504 g/cm3
Raw total energy   -50.26 eV/cell
Uncorrected formation energy   1.3530 eV per atom

=====

[2]
VASP calculation (meta-GGA SCAN) on a PBEsol-optimized structure of Sc2ReP.

POSCAR file:
```
Sc2ReP
1.0
3.358 0.000 0.000
0.000 3.358 0.000
0.000 0.000 5.732
Sc Re P
2 1 1
Direct
0.000 0.000 0.242
0.000 0.000 0.758
0.500 0.500 0.500
0.500 0.500 0.000
```

Properties
Energy of formation   -0.67 eV/atom
Density   7.889 g/cm3
Raw total energy   -112.67 eV/cell

=====

[3]
VASP calculation (meta-GGA SCAN) on a PBEsol-optimized structure of KHf3Cl.

POSCAR file:
```
KHf3Cl
1.0
4.877 0.000 0.000
0.000 4.877 0.000
0.000 0.000 4.877
K Hf Cl
1 3 1
Direct
0.000 0.000 0.000
0.000 0.500 0.500
0.500 0.000 0.500
0.500 0.500 0.000
0.500 0.500 0.500
```

Properties
Polymorph energy (0 for the lowest one)   0.00 kcal/mol of atoms
Density   8.731 g/cm3
Raw total energy   -201.18 eV/cell
Uncorrected formation energy   0.6298 eV per atom